Below is crystalline AcPmEr4 at its relaxed geometry, with properties calculated at the GGA-PBE level.

Cell lengths 7.1871, 7.1871, 8.8423 Å; angles 91.01, 91.01, 60.74 degrees
Fractional coordinates of all 12 atoms:
Ac: 0.0886 0.0886 0.3299
Ac: 0.9114 0.9114 0.6701
Pm: 0.4137 0.4137 0.6701
Pm: 0.5863 0.5863 0.3299
Er: 0.0869 0.5861 0.3252
Er: 0.2523 0.2523 0.9978
Er: 0.2541 0.7459 0.0000
Er: 0.4139 0.9131 0.6748
Er: 0.5861 0.0869 0.3252
Er: 0.7459 0.2541 0.0000
Er: 0.7477 0.7477 0.0022
Er: 0.9131 0.4139 0.6748

Results
The value obtained for the formation enthalpy at 0 K is 44 meV per atom. Its space group is C2/m (12). For the density of states at the Fermi level, the calculation gives 1.38 states/eV per atom. The calculation puts the total energy at -4.47 eV/atom.

Below is crystalline Ac5Pm4Er at its relaxed geometry, with properties calculated at the GGA-PBE level.

Cell lengths 4.4061, 4.4061, 20.0348 Å; angles 90.00, 90.00, 90.00 degrees
Fractional coordinates of all 10 atoms:
Ac: 0.0000 0.0000 0.0000
Ac: 0.0000 0.0000 0.1996
Ac: 0.0000 0.0000 0.4025
Ac: 0.0000 0.0000 0.5975
Ac: 0.0000 0.0000 0.8004
Pm: 0.5000 0.5000 0.0996
Pm: 0.5000 0.5000 0.3004
Pm: 0.5000 0.5000 0.6996
Pm: 0.5000 0.5000 0.9004
Er: 0.5000 0.5000 0.5000

Results
The value obtained for the formation enthalpy at 0 K is 97 meV per atom. Its space group is P4/mmm (123). For the density of states at the Fermi level, the calculation gives 1.74 states/eV per atom. The calculation puts the total energy at -4.31 eV/atom.